Entry 1:
Density functional theory data (PBE) for crystalline Ti at its relaxed geometry.

```
data_Ti
_cell_length_a 4.7468
_cell_length_b 4.7468
_cell_length_c 2.4175
_cell_angle_alpha 90.00
_cell_angle_beta 90.00
_cell_angle_gamma 120.00
_space_group_name_H-M_alt 'P 1'
_space_group_IT_number 1
loop_
_space_group_symop_operation_xyz
'x,y,z'
loop_
_atom_site_label
_atom_site_type_symbol
_atom_site_fract_x
_atom_site_fract_y
_atom_site_fract_z
Ti1 Ti 0.3333 0.6667 0.0000
Ti2 Ti 0.6667 0.3333 0.0000
```

ρ: 3.4 g/cm3
volume: 23.586 Å³/atom
total DFT energy (no corrections): -12.923 eV/cell
N(E_F): 3.7 states/eV/cell

***

Entry 2:
Density functional theory data (PBE) for crystalline Ti at its relaxed geometry.

```
data_Ti
_cell_length_a 7.3040
_cell_length_b 7.3040
_cell_length_c 7.3040
_cell_angle_alpha 92.09
_cell_angle_beta 92.09
_cell_angle_gamma 157.99
_space_group_name_H-M_alt 'P 1'
_space_group_IT_number 1
loop_
_space_group_symop_operation_xyz
'x,y,z'
loop_
_atom_site_label
_atom_site_type_symbol
_atom_site_fract_x
_atom_site_fract_y
_atom_site_fract_z
Ti1 Ti 0.0905 0.3522 0.4428
Ti2 Ti 0.0966 0.8290 0.9256
Ti3 Ti 0.1710 0.0966 0.2675
Ti4 Ti 0.3522 0.9095 0.2617
Ti5 Ti 0.6478 0.0905 0.7383
Ti6 Ti 0.8290 0.9034 0.7325
Ti7 Ti 0.9034 0.1710 0.0744
Ti8 Ti 0.9095 0.6478 0.5572
```

ρ: 4.4 g/cm3
volume: 17.921 Å³/atom
total DFT energy (no corrections): -61.049 eV/cell
N(E_F): 8.0 states/eV/cell

***

Entry 3:
Density functional theory data (PBE) for crystalline Ti at its relaxed geometry.

```
data_Ti
_cell_length_a 5.1888
_cell_length_b 5.1888
_cell_length_c 5.1888
_cell_angle_alpha 90.00
_cell_angle_beta 90.00
_cell_angle_gamma 90.00
_space_group_name_H-M_alt 'P 1'
_space_group_IT_number 1
loop_
_space_group_symop_operation_xyz
'x,y,z'
loop_
_atom_site_label
_atom_site_type_symbol
_atom_site_fract_x
_atom_site_fract_y
_atom_site_fract_z
Ti1 Ti 0.0000 0.0000 0.0000
Ti2 Ti 0.0000 0.2500 0.5000
Ti3 Ti 0.0000 0.7500 0.5000
Ti4 Ti 0.2500 0.5000 0.0000
Ti5 Ti 0.5000 0.0000 0.2500
Ti6 Ti 0.5000 0.0000 0.7500
Ti7 Ti 0.5000 0.5000 0.5000
Ti8 Ti 0.7500 0.5000 0.0000
```

ρ: 4.6 g/cm3
volume: 17.463 Å³/atom
total DFT energy (no corrections): -61.635 eV/cell
N(E_F): 17.7 states/eV/cell

***

Entry 4:
Density functional theory data (PBE) for crystalline Ti at its relaxed geometry.

```
data_Ti
_cell_length_a 2.8132
_cell_length_b 2.8132
_cell_length_c 2.8132
_cell_angle_alpha 109.47
_cell_angle_beta 109.47
_cell_angle_gamma 109.47
_space_group_name_H-M_alt 'P 1'
_space_group_IT_number 1
loop_
_space_group_symop_operation_xyz
'x,y,z'
loop_
_atom_site_label
_atom_site_type_symbol
_atom_site_fract_x
_atom_site_fract_y
_atom_site_fract_z
Ti1 Ti 0.0000 0.0000 0.0000
```

ρ: 4.6 g/cm3
volume: 17.139 Å³/atom
total DFT energy (no corrections): -7.784 eV/cell
N(E_F): 2.1 states/eV/cell

***

Entry 5:
Density functional theory data (PBE) for crystalline Ti at its relaxed geometry.

```
data_Ti
_cell_length_a 7.9325
_cell_length_b 7.9325
_cell_length_c 4.6611
_cell_angle_alpha 90.00
_cell_angle_beta 90.00
_cell_angle_gamma 90.00
_space_group_name_H-M_alt 'P 1'
_space_group_IT_number 1
loop_
_space_group_symop_operation_xyz
'x,y,z'
loop_
_atom_site_label
_atom_site_type_symbol
_atom_site_fract_x
_atom_site_fract_y
_atom_site_fract_z
Ti1 Ti 0.0547 0.2938 0.0000
Ti2 Ti 0.1224 0.7827 0.5000
Ti3 Ti 0.2062 0.4453 0.5000
Ti4 Ti 0.2173 0.1224 0.5000
Ti5 Ti 0.2827 0.6224 0.0000
Ti6 Ti 0.2938 0.9453 0.0000
Ti7 Ti 0.3776 0.2827 0.0000
Ti8 Ti 0.4453 0.7938 0.5000
Ti9 Ti 0.5547 0.2062 0.5000
Ti10 Ti 0.6224 0.7173 0.0000
Ti11 Ti 0.7062 0.0547 0.0000
Ti12 Ti 0.7173 0.3776 0.0000
Ti13 Ti 0.7827 0.8776 0.5000
Ti14 Ti 0.7938 0.5547 0.5000
Ti15 Ti 0.8776 0.2173 0.5000
Ti16 Ti 0.9453 0.7062 0.0000
```

ρ: 4.3 g/cm3
volume: 18.331 Å³/atom
total DFT energy (no corrections): -121.391 eV/cell
N(E_F): 25.9 states/eV/cell

***

Entry 6:
Density functional theory data (PBE) for crystalline Ti at its relaxed geometry.

```
data_Ti
_cell_length_a 5.5425
_cell_length_b 5.5425
_cell_length_c 4.5152
_cell_angle_alpha 90.00
_cell_angle_beta 90.00
_cell_angle_gamma 150.35
_space_group_name_H-M_alt 'P 1'
_space_group_IT_number 1
loop_
_space_group_symop_operation_xyz
'x,y,z'
loop_
_atom_site_label
_atom_site_type_symbol
_atom_site_fract_x
_atom_site_fract_y
_atom_site_fract_z
Ti1 Ti 0.0639 0.9361 0.7500
Ti2 Ti 0.3177 0.6823 0.7500
Ti3 Ti 0.6823 0.3177 0.2500
Ti4 Ti 0.9361 0.0639 0.2500
```

ρ: 4.6 g/cm3
volume: 17.151 Å³/atom
total DFT energy (no corrections): -31.517 eV/cell
N(E_F): 4.3 states/eV/cell

***

Entry 7:
Density functional theory data (PBE) for crystalline Ti at its relaxed geometry.

```
data_Ti
_cell_length_a 5.4286
_cell_length_b 5.4286
_cell_length_c 8.4107
_cell_angle_alpha 90.00
_cell_angle_beta 90.00
_cell_angle_gamma 120.00
_space_group_name_H-M_alt 'P 1'
_space_group_IT_number 1
loop_
_space_group_symop_operation_xyz
'x,y,z'
loop_
_atom_site_label
_atom_site_type_symbol
_atom_site_fract_x
_atom_site_fract_y
_atom_site_fract_z
Ti1 Ti 0.0000 0.0000 0.0000
Ti2 Ti 0.0000 0.0000 0.5000
Ti3 Ti 0.1737 0.3474 0.2500
Ti4 Ti 0.1737 0.8263 0.2500
Ti5 Ti 0.3333 0.6667 0.5640
Ti6 Ti 0.3333 0.6667 0.9360
Ti7 Ti 0.3474 0.1737 0.7500
Ti8 Ti 0.6526 0.8263 0.2500
Ti9 Ti 0.6667 0.3333 0.0640
Ti10 Ti 0.6667 0.3333 0.4360
Ti11 Ti 0.8263 0.1737 0.7500
Ti12 Ti 0.8263 0.6526 0.7500
```

ρ: 4.4 g/cm3
volume: 17.887 Å³/atom
total DFT energy (no corrections): -91.715 eV/cell
N(E_F): 12.4 states/eV/cell

***

Entry 8:
Density functional theory data (PBE) for crystalline Ti at its relaxed geometry.

```
data_Ti
_cell_length_a 2.9017
_cell_length_b 2.9017
_cell_length_c 2.9017
_cell_angle_alpha 60.00
_cell_angle_beta 60.00
_cell_angle_gamma 60.00
_space_group_name_H-M_alt 'P 1'
_space_group_IT_number 1
loop_
_space_group_symop_operation_xyz
'x,y,z'
loop_
_atom_site_label
_atom_site_type_symbol
_atom_site_fract_x
_atom_site_fract_y
_atom_site_fract_z
Ti1 Ti 0.0000 0.0000 0.0000
```

ρ: 4.6 g/cm3
volume: 17.276 Å³/atom
total DFT energy (no corrections): -7.832 eV/cell
N(E_F): 1.8 states/eV/cell

***

Entry 9:
Density functional theory data (PBE) for crystalline Ti at its relaxed geometry.

```
data_Ti
_cell_length_a 5.2452
_cell_length_b 5.2452
_cell_length_c 2.6375
_cell_angle_alpha 90.00
_cell_angle_beta 90.00
_cell_angle_gamma 90.00
_space_group_name_H-M_alt 'P 1'
_space_group_IT_number 1
loop_
_space_group_symop_operation_xyz
'x,y,z'
loop_
_atom_site_label
_atom_site_type_symbol
_atom_site_fract_x
_atom_site_fract_y
_atom_site_fract_z
Ti1 Ti 0.1771 0.3229 0.0000
Ti2 Ti 0.3229 0.8229 0.0000
Ti3 Ti 0.6771 0.1771 0.0000
Ti4 Ti 0.8229 0.6771 0.0000
```

ρ: 4.4 g/cm3
volume: 18.141 Å³/atom
total DFT energy (no corrections): -29.524 eV/cell
N(E_F): 6.4 states/eV/cell

***

Entry 10:
Density functional theory data (PBE) for crystalline Ti at its relaxed geometry.

```
data_Ti
_cell_length_a 2.7246
_cell_length_b 2.7246
_cell_length_c 2.7358
_cell_angle_alpha 90.00
_cell_angle_beta 90.00
_cell_angle_gamma 120.00
_space_group_name_H-M_alt 'P 1'
_space_group_IT_number 1
loop_
_space_group_symop_operation_xyz
'x,y,z'
loop_
_atom_site_label
_atom_site_type_symbol
_atom_site_fract_x
_atom_site_fract_y
_atom_site_fract_z
Ti1 Ti 0.0000 0.0000 0.0000
```

ρ: 4.5 g/cm3
volume: 17.588 Å³/atom
total DFT energy (no corrections): -7.533 eV/cell
N(E_F): 0.8 states/eV/cell

***

Entry 11:
Density functional theory data (PBE) for crystalline Ti at its relaxed geometry.

```
data_Ti
_cell_length_a 2.9334
_cell_length_b 2.9334
_cell_length_c 9.3395
_cell_angle_alpha 90.00
_cell_angle_beta 90.00
_cell_angle_gamma 120.00
_space_group_name_H-M_alt 'P 1'
_space_group_IT_number 1
loop_
_space_group_symop_operation_xyz
'x,y,z'
loop_
_atom_site_label
_atom_site_type_symbol
_atom_site_fract_x
_atom_site_fract_y
_atom_site_fract_z
Ti1 Ti 0.0000 0.0000 0.0000
Ti2 Ti 0.0000 0.0000 0.5000
Ti3 Ti 0.3333 0.6667 0.2500
Ti4 Ti 0.6667 0.3333 0.7500
```

ρ: 4.6 g/cm3
volume: 17.399 Å³/atom
total DFT energy (no corrections): -31.389 eV/cell
N(E_F): 6.3 states/eV/cell

***

Entry 12:
Density functional theory data (PBE) for crystalline Ti at its relaxed geometry.

```
data_Ti
_cell_length_a 5.3568
_cell_length_b 5.3568
_cell_length_c 5.3568
_cell_angle_alpha 60.00
_cell_angle_beta 60.00
_cell_angle_gamma 60.00
_space_group_name_H-M_alt 'P 1'
_space_group_IT_number 1
loop_
_space_group_symop_operation_xyz
'x,y,z'
loop_
_atom_site_label
_atom_site_type_symbol
_atom_site_fract_x
_atom_site_fract_y
_atom_site_fract_z
Ti1 Ti 0.0000 0.0000 0.0000
Ti2 Ti 0.0000 0.0000 0.5000
Ti3 Ti 0.0000 0.5000 0.0000
Ti4 Ti 0.3750 0.3750 0.3750
Ti5 Ti 0.5000 0.0000 0.0000
Ti6 Ti 0.6250 0.6250 0.6250
```

ρ: 4.4 g/cm3
volume: 18.115 Å³/atom
total DFT energy (no corrections): -45.842 eV/cell
N(E_F): 5.7 states/eV/cell